## PmDyYSn (PBE-GGA)

Data for PmDyYSn after structural relaxation.

Summary:
ΔH_f (0 K) = -0.227 eV per atom
ρ = 7.5 g/cm³
Total energy = -5.182 eV per atom
Symmetry = No. 216
Crystal system = cubic

a b c (Å): 5.4473 5.4473 5.4473
angles (deg): 60.00 60.00 60.00
Sites, in units of the cell vectors:
1 Sn 0.0000 0.0000 0.0000
2 Pm 0.5000 0.5000 0.5000
3 Dy 0.2500 0.2500 0.2500
4 Y 0.7500 0.7500 0.7500


## AlPbIN2 (PBE-GGA)

Data for AlPbIN2 after structural relaxation.

Summary:
ρ = 4.6 g/cm³
Total energy = -3.578 eV per atom
Energy relative to the elements, uncorrected = 1552 meV/atom
Symmetry = No. 123
Relative energy among the computed polymorphs = 646 meV per atom
Crystal system = tetragonal

a b c (Å): 4.5371 4.5371 6.8951
angles (deg): 90.00 90.00 90.00
Sites, in units of the cell vectors:
1 I 0.0000 0.0000 0.5000
2 N 0.5000 0.0000 0.0000
3 N 0.0000 0.5000 0.0000
4 Al 0.5000 0.5000 0.5000
5 Pb 0.0000 0.0000 0.0000


## Nd5YTe8 (PBE-GGA)

Data for Nd5YTe8 after structural relaxation.

Summary:
ρ = 7.1 g/cm³
Total energy = -5.367 eV per atom
Energy relative to the elements, uncorrected = -1407 meV/atom
Symmetry = No. 82
Crystal system = tetragonal

a b c (Å): 8.2408 8.2408 8.2408
angles (deg): 109.73 108.96 109.73
Sites, in units of the cell vectors:
1 Nd 0.9945 0.3695 0.1260
2 Nd 0.3750 0.1315 0.0055
3 Nd 0.8740 0.8685 0.2435
4 Nd 0.7565 0.6305 0.6250
5 Nd 0.5000 0.0000 0.5000
6 Te 0.2740 0.2534 0.3822
7 Te 0.4735 0.5996 0.2244
8 Te 0.1288 0.7466 0.0206
9 Te 0.7756 0.2491 0.3753
10 Te 0.1261 0.7509 0.5265
11 Te 0.6178 0.8918 0.8712
12 Te 0.6247 0.4004 0.8739
13 Te 0.9794 0.1082 0.7260
14 Y 0.2500 0.5000 0.7500


## CaBeCl4 (PBE-GGA)

Data for CaBeCl4 after structural relaxation.

Summary:
ρ = 2.1 g/cm³
Total energy = -2.133 eV per atom
Energy relative to the elements, uncorrected = 53 meV/atom
Symmetry = No. 216
Relative energy among the computed polymorphs = 1930 meV per atom
Crystal system = cubic

a b c (Å): 5.9616 5.9616 5.9616
angles (deg): 60.00 60.00 60.00
Sites, in units of the cell vectors:
1 Cl 0.3755 0.3755 0.3755
2 Cl 0.3755 0.3755 0.8735
3 Cl 0.8735 0.3755 0.3755
4 Cl 0.3755 0.8735 0.3755
5 Ca 0.0000 0.0000 0.0000
6 Be 0.7500 0.7500 0.7500